1.
Y5Al2Hg2 after structural relaxation. Source: Alexandria, functional PBE-GGA.

a = 7.777 Å, b = 7.706 Å, c = 9.002 Å
α = 90.00°, β = 64.41°, γ = 90.00°
Atoms (fractional coordinates):
Hg  0.286  0.500  0.429
Hg  0.714  0.500  0.571
Hg  0.786  0.000  0.429
Hg  0.214  0.000  0.571
Y  0.049  0.674  0.269
Y  0.549  0.826  0.269
Y  0.182  0.174  0.269
Y  0.951  0.326  0.731
Y  0.500  0.500  0.000
Y  0.451  0.174  0.731
Y  0.818  0.826  0.731
Y  0.682  0.326  0.269
Y  0.318  0.674  0.731
Y  0.000  0.000  0.000
Al  0.381  0.880  0.000
Al  0.119  0.380  0.000
Al  0.619  0.120  0.000
Al  0.881  0.620  0.000

Computed properties:
As for the space group: Cmce. Its magnetization is 0.00 μB/f.u. The calculation puts the energy of formation at -40.08 kJ/mol of atoms. The calculation puts the volume at 27.033 Å³/atom.

2.
RbSr2H after structural relaxation. Source: Alexandria, functional PBE-GGA.

a = 6.486 Å, b = 6.486 Å, c = 6.486 Å
α = 60.00°, β = 60.00°, γ = 60.00°
Atoms (fractional coordinates):
H  0.000  0.000  0.000
Rb  0.500  0.500  0.500
Sr  0.750  0.750  0.750
Sr  0.250  0.250  0.250

Computed properties:
The calculation puts the energy above the most stable polymorph in this dataset at 674.3 meV/atom. As for the space group: Fm-3m. Its magnetization is 0.00 μB/f.u. The calculation puts the volume at 48.238 Å³/atom.

3.
ZrTe2Se after structural relaxation. Source: Alexandria, functional PBE-GGA.

a = 10.044 Å, b = 10.044 Å, c = 10.044 Å
α = 20.74°, β = 20.74°, γ = 20.74°
Atoms (fractional coordinates):
Te  0.095  0.095  0.095
Te  0.905  0.905  0.905
Se  0.500  0.500  0.500
Zr  0.000  0.000  0.000

Computed properties:
Its total energy is -4.20 eV per atom. As for the space group: R-3m. Its magnetization is 0.00 μB/f.u. The calculation puts the volume at 27.818 Å³/atom.